Pd3AuI after structural relaxation. Source: the Alexandria database, functional PBE.

Values from the calculation:
Space group = Pm-3m, No. 221
Total DFT energy (no corrections) = -0.25119 Ry/atom
Formation energy (no corrections) = 0.66 eV per atom
Distance to the lowest polymorph of the same formula = 0 meV per atom

```
data_Pd3AuI
_chemical_formula_sum 'Pd3 Au1 I1'
_symmetry_space_group_name_H-M 'P 1'
_symmetry_Int_Tables_number 1
_cell_length_a 4.9476
_cell_length_b 4.9476
_cell_length_c 4.9476
_cell_angle_alpha 90.00
_cell_angle_beta 90.00
_cell_angle_gamma 90.00
loop_
_symmetry_equiv_pos_as_xyz
'x,y,z'
loop_
_atom_site_label
_atom_site_type_symbol
_atom_site_fract_x
_atom_site_fract_y
_atom_site_fract_z
I1 I 0.0000 0.0000 0.0000
Pd1 Pd 0.5000 0.0000 0.0000
Pd2 Pd 0.0000 0.0000 0.5000
Au1 Au 0.5000 0.5000 0.5000
Pd3 Pd 0.0000 0.5000 0.0000
```



AcAs3H after structural relaxation. Source: the Alexandria database, functional PBE.

Values from the calculation:
Space group = Pm-3m, No. 221
Total DFT energy (no corrections) = -0.33275 Ry/atom

```
data_AcAs3H
_chemical_formula_sum 'Ac1 As3 H1'
_symmetry_space_group_name_H-M 'P 1'
_symmetry_Int_Tables_number 1
_cell_length_a 4.6108
_cell_length_b 4.6108
_cell_length_c 4.6108
_cell_angle_alpha 90.00
_cell_angle_beta 90.00
_cell_angle_gamma 90.00
loop_
_symmetry_equiv_pos_as_xyz
'x,y,z'
loop_
_atom_site_label
_atom_site_type_symbol
_atom_site_fract_x
_atom_site_fract_y
_atom_site_fract_z
As1 As 0.0000 0.0000 0.5000
As2 As 0.0000 0.5000 0.0000
Ac1 Ac 0.5000 0.5000 0.5000
As3 As 0.5000 0.0000 0.0000
H1 H 0.0000 0.0000 0.0000
```



| no. | Fermi-level density of states (states/eV per cell) |
| --- | --- |
| 1 | 0.99 |
| 2 | 2.39 |